Entry 1:
# SmTm2Sc3As6 GGA-PBE optimized geometry
# - E_form: -1428 meV per atom
data_SmTm2Sc3As6
_chemical_formula_sum 'Sm2 Tm4 Sc6 As12'
_space_group_name_H-M_alt 'C 1 2/m 1'
_space_group_IT_number 12
_cell_length_a 6.9348
_cell_length_b 12.0117
_cell_length_c 6.9142
_cell_angle_alpha 90.00
_cell_angle_beta 109.52
_cell_angle_gamma 90.00
loop_
_space_group_symop_operation_xyz
'x,y,z'
'-x,-y,-z'
'-x,y,-z'
'x,-y,z'
'x+1/2,y+1/2,z'
'-x+1/2,-y+1/2,-z'
'-x+1/2,y+1/2,-z'
'x+1/2,-y+1/2,z'
loop_
_atom_site_label
_atom_site_type_symbol
_atom_site_fract_x
_atom_site_fract_y
_atom_site_fract_z
Sm1 Sm 0.0000 0.0000 0.0000
Tm1 Tm 0.0000 0.3329 0.0000
Sc1 Sc 0.0000 0.1650 0.5000
Sc2 Sc 0.0000 0.5000 0.5000
As1 As 0.2422 0.3306 0.7350
As2 As 0.2490 0.5000 0.2639

=====

Entry 2:
# ZrNpS2N GGA-PBE optimized geometry
# - Uncorrected energy: -9.037 eV/atom
data_ZrNpS2N
_chemical_formula_sum 'Zr2 Np2 S4 N2'
_space_group_name_H-M_alt 'P 4/n m m'
_space_group_IT_number 129
_cell_length_a 3.6911
_cell_length_b 3.6911
_cell_length_c 12.9150
_cell_angle_alpha 90.00
_cell_angle_beta 90.00
_cell_angle_gamma 90.00
loop_
_space_group_symop_operation_xyz
'x,y,z'
'-x,-y,-z'
'-y+1/2,x,z'
'y+1/2,-x,-z'
'-x+1/2,-y+1/2,z'
'x+1/2,y+1/2,-z'
'y,-x+1/2,z'
'-y,x+1/2,-z'
'x+1/2,-y,-z'
'-x+1/2,y,z'
'-y,-x,-z'
'y,x,z'
'-x,y+1/2,-z'
'x,-y+1/2,z'
'y+1/2,x+1/2,-z'
'-y+1/2,-x+1/2,z'
loop_
_atom_site_label
_atom_site_type_symbol
_atom_site_fract_x
_atom_site_fract_y
_atom_site_fract_z
Zr1 Zr 0.2500 0.2500 0.0920
Np1 Np 0.2500 0.2500 0.5951
S1 S 0.2500 0.2500 0.2964
S2 S 0.2500 0.2500 0.8852
N1 N 0.2500 0.7500 0.5000

=====

Entry 3:
# CoCuMoRh GGA-PBE optimized geometry
# - E_form: 99 meV per atom
data_CoCuMoRh
_chemical_formula_sum 'Co4 Cu4 Mo4 Rh4'
_space_group_name_H-M_alt 'F -4 3 m'
_space_group_IT_number 216
_space_group_name_Hall 'F -4 2 3'
_cell_length_a 5.9749
_cell_length_b 5.9749
_cell_length_c 5.9749
_cell_angle_alpha 90.00
_cell_angle_beta 90.00
_cell_angle_gamma 90.00
loop_
_atom_site_label
_atom_site_type_symbol
_atom_site_fract_x
_atom_site_fract_y
_atom_site_fract_z
Co1 Co 0.0000 0.0000 0.0000
Cu1 Cu 0.2500 0.2500 0.7500
Mo1 Mo 0.2500 0.2500 0.2500
Rh1 Rh 0.0000 0.0000 0.5000

=====

Entry 4:
# BaTlIr2 GGA-PBE optimized geometry
# - E_form: 534 meV per atom
data_BaTlIr2
_chemical_formula_sum 'Ba1 Tl1 Ir2'
_space_group_name_H-M_alt 'P 1 2/m 1'
_space_group_IT_number 10
_cell_length_a 3.1253
_cell_length_b 4.8010
_cell_length_c 6.4228
_cell_angle_alpha 90.00
_cell_angle_beta 98.71
_cell_angle_gamma 90.00
loop_
_space_group_symop_operation_xyz
'x,y,z'
'-x,-y,-z'
'-x,y,-z'
'x,-y,z'
loop_
_atom_site_label
_atom_site_type_symbol
_atom_site_fract_x
_atom_site_fract_y
_atom_site_fract_z
Ba1 Ba 0.0000 0.0000 0.0000
Tl1 Tl 0.5000 0.0000 0.5000
Ir1 Ir 0.3036 0.5000 0.6726

=====

Entry 5:
# Tl4Pb5Au2 GGA-PBE optimized geometry
# - E_form: 19 meV per atom
data_Tl4Pb5Au2
_chemical_formula_sum 'Tl4 Pb5 Au2'
_space_group_name_H-M_alt 'P 1 2/m 1'
_space_group_IT_number 10
_cell_length_a 8.3522
_cell_length_b 3.6711
_cell_length_c 10.4831
_cell_angle_alpha 90.00
_cell_angle_beta 97.15
_cell_angle_gamma 90.00
loop_
_space_group_symop_operation_xyz
'x,y,z'
'-x,-y,-z'
'-x,y,-z'
'x,-y,z'
loop_
_atom_site_label
_atom_site_type_symbol
_atom_site_fract_x
_atom_site_fract_y
_atom_site_fract_z
Tl1 Tl 0.1920 0.0000 0.3507
Tl2 Tl 0.2184 0.0000 0.9248
Pb1 Pb 0.1508 0.5000 0.6371
Pb2 Pb 0.4599 0.5000 0.1732
Pb3 Pb 0.5000 0.5000 0.5000
Au1 Au 0.0883 0.5000 0.1277

=====

Entry 6:
# BAsPd GGA-PBE optimized geometry
# - E_form: 24 meV per atom
data_BAsPd
_chemical_formula_sum 'B2 As2 Pd2'
_space_group_name_H-M_alt 'P 1 m 1'
_space_group_IT_number 6
_cell_length_a 5.6171
_cell_length_b 3.0611
_cell_length_c 5.8609
_cell_angle_alpha 90.00
_cell_angle_beta 118.15
_cell_angle_gamma 90.00
loop_
_space_group_symop_operation_xyz
'x,y,z'
'x,-y,z'
loop_
_atom_site_label
_atom_site_type_symbol
_atom_site_fract_x
_atom_site_fract_y
_atom_site_fract_z
B1 B 0.0000 0.0000 0.0000
B2 B 0.0306 0.5000 0.1306
As1 As 0.3455 0.0000 0.9425
As2 As 0.6824 0.0000 0.6106
Pd1 Pd 0.2980 0.5000 0.5645
Pd2 Pd 0.8286 0.0000 0.2799

=====

Question: Number 2 is which compound?
Answer: ZrNpS2N

=====

Question: Number 1 is which compound?
Answer: SmTm2Sc3As6